(1)
## BePdW (PBE-GGA)

Data for BePdW after structural relaxation.

The energy of formation from the pure elements is -0.5 eV/f.u.

The space group is Pm (No. 6) and the conventional cell measures 3.029, 3.493 and 7.534 Å, with angles of 90.00, 99.70 and 90.00 degrees. The asymmetric unit holds Be at (0.000, 0.000, 0.000), Be at (0.064, 0.500, 0.166), Pd at (0.464, 0.500, 0.925), Pd at (0.859, 0.000, 0.691), W at (0.290, 0.500, 0.499) and W at (0.609, 0.000, 0.286).



(2)
## Na2LaInSb (PBE-GGA)

Data for Na2LaInSb after structural relaxation.

For the formation energy from raw total energies, the calculation gives 2.54 eV per formula unit.

The space group is P4/mmm (No. 123) and the conventional cell measures 6.565, 6.565 and 5.972 Å, with angles of 90.00, 90.00 and 90.00 degrees. The asymmetric unit holds Na at (0.000, 0.500, 0.000), La at (0.000, 0.000, 0.000), In at (0.500, 0.500, 0.500) and Sb at (0.000, 0.000, 0.500).



(3)
## Dy2HfTh (PBE-GGA)

Data for Dy2HfTh after structural relaxation.

The energy of formation from the pure elements is 0.6 eV/f.u.

The space group is R3m (No. 160, hexagonal axes) and the conventional cell measures 3.4218, 3.4218 and 34.2975 Å, with angles of 90.00, 90.00 and 120.00 degrees. The asymmetric unit holds Dy at (0.0000, 0.0000, 0.0000), Dy at (0.0000, 0.0000, 0.1799), Hf at (0.0000, 0.0000, 0.5901) and Th at (0.0000, 0.0000, 0.4243).



| no. | spin magnetization (μB/atom) |
| --- | --- |
| 1 | 0.000 |
| 2 | 0.000 |
| 3 | 0.000 |